Entry 1:
! PBE Rb3C, optimized geometry; values from VASP
&SYSTEM
  ibrav = 0, nat = 8, ntyp = 2
/
ATOMIC_SPECIES
Rb 85.47 Rb.upf
C 12.01 C.upf
CELL_PARAMETERS angstrom
6.930 0.000 0.000
0.000 6.930 0.000
0.000 0.000 6.930
ATOMIC_POSITIONS crystal
Rb 0.000 0.250 0.500
Rb 0.000 0.750 0.500
Rb 0.250 0.500 0.000
Rb 0.500 0.000 0.250
Rb 0.500 0.000 0.750
Rb 0.750 0.500 0.000
C 0.000 0.000 0.000
C 0.500 0.500 0.500
! Space-group type ... No. 223
! D(E_F) ... 6.58 states/eV per cell
! Theoretical density ... 2.68 Mg/m³
! Calculated total energy ... -1.6154 eV per atom
! Relative energy among the computed polymorphs ... 1.35 eV/f.u.
! Energy relative to the elements ... 1416 meV/atom

---

Entry 2:
! PBE LaGa4Cu2, optimized geometry; values from VASP
&SYSTEM
  ibrav = 0, nat = 28, ntyp = 3
/
ATOMIC_SPECIES
La 138.91 La.upf
Ga 69.72 Ga.upf
Cu 63.55 Cu.upf
CELL_PARAMETERS angstrom
17.156 0.000 0.000
0.000 4.239 0.000
0.000 0.000 6.942
ATOMIC_POSITIONS crystal
La 0.121 0.250 0.008
La 0.379 0.750 0.508
La 0.621 0.250 0.492
La 0.879 0.750 0.992
Ga 0.036 0.750 0.747
Ga 0.090 0.250 0.504
Ga 0.187 0.750 0.323
Ga 0.196 0.750 0.708
Ga 0.304 0.250 0.208
Ga 0.313 0.250 0.823
Ga 0.410 0.750 0.004
Ga 0.464 0.250 0.247
Ga 0.536 0.750 0.753
Ga 0.590 0.250 0.996
Ga 0.687 0.750 0.177
Ga 0.696 0.750 0.792
Ga 0.804 0.250 0.292
Ga 0.813 0.250 0.677
Ga 0.910 0.750 0.496
Ga 0.964 0.250 0.253
Cu 0.039 0.750 0.311
Cu 0.232 0.250 0.521
Cu 0.268 0.750 0.021
Cu 0.461 0.250 0.811
Cu 0.539 0.750 0.189
Cu 0.732 0.250 0.979
Cu 0.768 0.750 0.479
Cu 0.961 0.250 0.689
! Space-group type ... No. 62
! D(E_F) ... 9.08 states/eV per cell
! Theoretical density ... 7.17 Mg/m³
! Calculated total energy ... -4.0019 eV per atom
! Energy relative to the elements ... -398 meV/atom

---

Entry 3:
! PBE AsF4, optimized geometry; values from VASP
&SYSTEM
  ibrav = 0, nat = 10, ntyp = 2
/
ATOMIC_SPECIES
As 74.92 As.upf
F 19.00 F.upf
CELL_PARAMETERS angstrom
5.116 -2.258 0.000
5.116 2.258 0.000
-3.897 0.000 7.766
ATOMIC_POSITIONS crystal
As 0.177 0.823 0.750
As 0.823 0.177 0.250
F 0.028 0.233 0.167
F 0.233 0.028 0.667
F 0.325 0.463 0.593
F 0.463 0.325 0.093
F 0.537 0.675 0.907
F 0.675 0.537 0.407
F 0.767 0.972 0.333
F 0.972 0.767 0.833
! Space-group type ... No. 15
! D(E_F) ... 1.99 states/eV per cell
! Theoretical density ... 2.79 Mg/m³
! Calculated total energy ... -4.2717 eV per atom
! Energy relative to the elements, uncorrected ... -1.8448 eV per atom

---

Entry 4:
! PBE Ac8Os3RuI3, optimized geometry; values from VASP
&SYSTEM
  ibrav = 0, nat = 15, ntyp = 4
/
ATOMIC_SPECIES
Ac 227.00 Ac.upf
Os 190.23 Os.upf
Ru 101.07 Ru.upf
I 126.90 I.upf
CELL_PARAMETERS angstrom
4.367 2.521 8.665
-4.367 2.521 8.665
0.000 -5.042 8.665
ATOMIC_POSITIONS crystal
Ac 0.227 0.227 0.227
Ac 0.228 0.726 0.726
Ac 0.274 0.274 0.772
Ac 0.274 0.772 0.274
Ac 0.726 0.228 0.726
Ac 0.726 0.726 0.228
Ac 0.772 0.274 0.274
Ac 0.773 0.773 0.773
Os 0.000 0.000 0.500
Os 0.000 0.500 0.000
Os 0.500 0.000 0.000
Ru 0.500 0.500 0.500
I 0.000 0.500 0.500
I 0.500 0.000 0.500
I 0.500 0.500 0.000
! Space-group type ... No. 166
! D(E_F) ... 7.25 states/eV per cell
! Theoretical density ... 8.32 Mg/m³
! Calculated total energy ... -5.8283 eV per atom
! Energy relative to the elements, uncorrected ... -0.4628 eV per atom

---

Entry 5:
! PBE Ca2Zr2Ru, optimized geometry; values from VASP
&SYSTEM
  ibrav = 0, nat = 10, ntyp = 3
/
ATOMIC_SPECIES
Ca 40.08 Ca.upf
Zr 91.22 Zr.upf
Ru 101.07 Ru.upf
CELL_PARAMETERS angstrom
6.754 0.000 0.000
0.000 6.754 0.000
0.000 0.000 5.390
ATOMIC_POSITIONS crystal
Ca 0.150 0.350 0.000
Ca 0.350 0.850 0.000
Ca 0.650 0.150 0.000
Ca 0.850 0.650 0.000
Zr 0.172 0.672 0.500
Zr 0.328 0.172 0.500
Zr 0.672 0.828 0.500
Zr 0.828 0.328 0.500
Ru 0.000 0.000 0.000
Ru 0.500 0.500 0.000
! Space-group type ... No. 127
! D(E_F) ... 15.55 states/eV per cell
! Theoretical density ... 4.91 Mg/m³
! Calculated total energy ... -5.3248 eV per atom
! Relative energy among the computed polymorphs ... 0.09 eV/f.u.
! Energy relative to the elements ... 750 meV/atom

---

Entry 6:
! PBE AcCeTe2, optimized geometry; values from VASP
&SYSTEM
  ibrav = 0, nat = 16, ntyp = 3
/
ATOMIC_SPECIES
Ac 227.00 Ac.upf
Ce 140.12 Ce.upf
Te 127.60 Te.upf
CELL_PARAMETERS angstrom
6.550 0.000 0.000
0.000 6.550 0.000
-6.529 0.000 13.074
ATOMIC_POSITIONS crystal
Ac 0.125 0.250 0.125
Ac 0.125 0.750 0.625
Ac 0.875 0.250 0.375
Ac 0.875 0.750 0.875
Ce 0.375 0.249 0.875
Ce 0.375 0.751 0.375
Ce 0.625 0.249 0.625
Ce 0.625 0.751 0.125
Te 0.130 0.249 0.630
Te 0.130 0.751 0.130
Te 0.380 0.251 0.380
Te 0.380 0.749 0.880
Te 0.620 0.251 0.120
Te 0.620 0.749 0.620
Te 0.870 0.249 0.870
Te 0.870 0.751 0.370
! Space-group type ... No. 13
! D(E_F) ... 33.72 states/eV per cell
! Theoretical density ... 7.37 Mg/m³
! Calculated total energy ... -5.4907 eV per atom
! Energy relative to the elements, uncorrected ... -1.4093 eV per atom
! Relative energy among the computed polymorphs ... 0.06 eV/f.u.

---

Entry 7:
! PBE BaH6S2, optimized geometry; values from VASP
&SYSTEM
  ibrav = 0, nat = 9, ntyp = 3
/
ATOMIC_SPECIES
Ba 137.33 Ba.upf
H 1.01 H.upf
S 32.06 S.upf
CELL_PARAMETERS angstrom
-2.768 2.786 3.905
2.768 -2.786 3.905
2.768 2.786 -3.905
ATOMIC_POSITIONS crystal
Ba 0.000 0.000 0.000
H 0.394 0.098 0.704
H 0.394 0.690 0.296
H 0.500 0.312 0.812
H 0.500 0.688 0.188
H 0.606 0.310 0.704
H 0.606 0.902 0.296
S 0.244 0.744 0.500
S 0.756 0.256 0.500
! Space-group type ... No. 71
! D(E_F) ... 0.00 states/eV per cell
! Theoretical density ... 2.86 Mg/m³
! Calculated total energy ... -3.6055 eV per atom

---

Entry 8:
! PBE TbPmGePt, optimized geometry; values from VASP
&SYSTEM
  ibrav = 0, nat = 4, ntyp = 4
/
ATOMIC_SPECIES
Tb 158.93 Tb.upf
Pm 145.00 Pm.upf
Ge 72.64 Ge.upf
Pt 195.08 Pt.upf
CELL_PARAMETERS angstrom
0.000 3.596 3.596
3.596 0.000 3.596
3.596 3.596 0.000
ATOMIC_POSITIONS crystal
Tb 0.000 0.000 0.000
Pm 0.500 0.500 0.500
Ge 0.750 0.750 0.750
Pt 0.250 0.250 0.250
! Space-group type ... No. 216
! D(E_F) ... 1.43 states/eV per cell
! Theoretical density ... 10.21 Mg/m³
! Calculated total energy ... -5.8971 eV per atom
! Relative energy among the computed polymorphs ... 0.58 eV/f.u.
! Energy relative to the elements ... -887 meV/atom

---

Entry 9:
! PBE Pb2Br, optimized geometry; values from VASP
&SYSTEM
  ibrav = 0, nat = 6, ntyp = 2
/
ATOMIC_SPECIES
Pb 207.20 Pb.upf
Br 79.90 Br.upf
CELL_PARAMETERS angstrom
1.837 -10.829 0.000
1.837 10.829 0.000
0.000 0.000 5.118
ATOMIC_POSITIONS crystal
Pb 0.097 0.903 0.750
Pb 0.274 0.726 0.250
Pb 0.726 0.274 0.750
Pb 0.903 0.097 0.250
Br 0.428 0.572 0.750
Br 0.572 0.428 0.250
! Space-group type ... No. 63
! D(E_F) ... 1.28 states/eV per cell
! Theoretical density ... 8.06 Mg/m³
! Calculated total energy ... -3.3040 eV per atom
! Energy relative to the elements, uncorrected ... -0.2741 eV per atom
! Relative energy among the computed polymorphs ... 0.00 eV/f.u.

---

Entry 10:
! PBE Tm2ThOs9, optimized geometry; values from VASP
&SYSTEM
  ibrav = 0, nat = 12, ntyp = 3
/
ATOMIC_SPECIES
Tm 168.93 Tm.upf
Th 232.04 Th.upf
Os 190.23 Os.upf
CELL_PARAMETERS angstrom
2.666 1.539 8.687
-2.666 1.539 8.687
0.000 -3.079 8.687
ATOMIC_POSITIONS crystal
Tm 0.141 0.141 0.141
Tm 0.859 0.859 0.859
Th 0.000 0.000 0.000
Os 0.072 0.591 0.591
Os 0.340 0.340 0.340
Os 0.409 0.409 0.928
Os 0.409 0.928 0.409
Os 0.500 0.500 0.500
Os 0.591 0.072 0.591
Os 0.591 0.591 0.072
Os 0.660 0.660 0.660
Os 0.928 0.409 0.409
! Space-group type ... No. 166
! D(E_F) ... 11.62 states/eV per cell
! Theoretical density ... 17.71 Mg/m³
! Calculated total energy ... -9.9257 eV per atom
! Energy relative to the elements ... -140 meV/atom